(1)
12
Lattice="-4.8043 0.4931 -1.9725 -2.1704 -3.9655 -2.6036 -3.2403 -2.9278 7.1604" Properties=species:S:1:pos:R:3 comment="ReW2 | Alexandria | PBE-GGA | optimized geometry" polymorph_energy_ev_per_atom=0.481 n_ef_per_ev_fu=2.82 total_magnetization_mub_per_fu=0.0 vol_a3_per_cell=197.7 formation_energy_ev_per_atom=0.53 energy_ev_per_atom=-12.25 space_group=P6_3/mmc pbc="T T T"
Re -4.8029 -2.4533 -2.7124
Re -6.1169 -3.6405 0.1911
Re -4.0981 -2.7597 2.3932
Re -5.4121 -3.9470 5.2967
W 0.0000 0.0000 0.0000
W -1.6201 -1.4639 3.5802
W -7.1558 -3.1329 2.8487
W -5.8634 -5.3208 2.5390
W -1.9941 -1.3215 1.0132
W -8.2209 -5.0788 1.5711
W -4.3516 -1.0795 0.0453
W -3.0592 -3.2674 -0.2644



(2)
7
Lattice="-1.9717 4.9335 -1.4705 -5.1264 -1.7375 1.0445 4.1936 0.7832 7.3376" Properties=species:S:1:pos:R:3 comment="La2PrP2Br2 | Alexandria | PBE-GGA | optimized geometry" n_ef_per_ev_fu=4.14 total_magnetization_mub_per_fu=0.0 vol_a3_per_cell=229.1 energy_ev_per_atom=-5.44 formation_energy_uncorrected_ev_per_atom=-1.327 space_group=I4/mmm pbc="T T T"
La 0.5164 1.9076 5.7075
La -3.4208 2.0717 1.2041
Pr 0.0000 0.0000 0.0000
P -2.5632 -0.8687 0.5223
P -0.9859 2.4667 -0.7352
Br 0.2637 0.9743 2.9151
Br -3.1682 3.0049 3.9964



(3)
10
Lattice="4.0359 0.0000 0.0000 0.0000 4.0359 0.0000 0.0000 0.0000 10.3061" Properties=species:S:1:pos:R:3 comment="Tm2GaCu4Ge3 | Alexandria | PBE-GGA | optimized geometry" n_ef_per_ev_fu=4.52 total_magnetization_mub_per_fu=0.0 vol_a3_per_cell=167.9 formation_energy_ev_per_atom=-0.46 energy_ev_per_atom=-4.68 space_group=P-4m2 pbc="T T T"
Tm 2.0179 0.0000 2.4772
Tm 0.0000 2.0179 7.8289
Ga 2.0179 2.0179 5.1530
Cu 2.0179 2.0179 0.0000
Cu 0.0000 0.0000 0.0000
Cu 2.0179 0.0000 6.5851
Cu 0.0000 2.0179 3.7209
Ge 0.0000 0.0000 5.1530
Ge 2.0179 0.0000 8.9241
Ge 0.0000 2.0179 1.3820



(4)
8
Lattice="7.3248 0.0000 0.0000 0.0000 7.3248 0.0000 3.6624 3.6624 3.7527" Properties=species:S:1:pos:R:3 comment="CsTaNi2 | Alexandria | PBE-GGA | optimized geometry" polymorph_energy_ev_per_atom=0.000 n_ef_per_ev_fu=4.08 total_magnetization_mub_per_fu=0.0 vol_a3_per_cell=201.3 formation_energy_ev_per_atom=1.15 energy_ev_per_atom=-4.92 space_group=I-42d pbc="T T T"
Cs 3.6624 3.6624 0.0000
Cs 3.6624 7.3248 1.8763
Ni 6.1062 1.8312 0.9382
Ni 1.2186 5.4936 0.9382
Ni 5.4936 4.8810 2.8145
Ni 9.1560 9.7686 2.8145
Ta 0.0000 0.0000 0.0000
Ta 7.3248 3.6624 1.8763



(5)
20
Lattice="-6.9178 4.2537 -2.9546 -2.4481 -0.9239 -8.2360 -11.5754 -10.0250 0.0317" Properties=species:S:1:pos:R:3 comment="Cs2HfGaI6 | Alexandria | PBE-GGA | optimized geometry" polymorph_energy_ev_per_atom=0.000 n_ef_per_ev_fu=3.63 total_magnetization_mub_per_fu=0.4 vol_a3_per_cell=936.3 energy_ev_per_atom=-3.39 formation_energy_uncorrected_ev_per_atom=-0.989 space_group=R-3m pbc="T T T"
Cs -12.4825 -0.7754 -9.8037
Cs -8.4588 -5.9199 -1.3552
Cs -16.9506 -6.6609 -7.8153
Cs -3.9907 -0.0344 -3.3436
Hf 0.0000 0.0000 0.0000
Hf -10.4707 -3.3477 -5.5795
Ga -8.6185 -0.9080 -6.4037
Ga -12.3228 -5.7873 -4.7553
I -11.5399 -0.5889 -5.5711
I -9.2527 -3.2383 -8.2737
I -8.0000 -2.7655 -4.0592
I -9.4014 -6.1064 -5.5878
I -11.6886 -3.4570 -2.8852
I -12.9413 -3.9298 -7.0997
I -15.7295 -5.9712 -3.7220
I -13.3675 -8.7073 -6.5130
I -12.0738 -8.2190 -2.1606
I -5.2118 -0.7241 -7.4370
I -7.5738 2.0120 -4.6460
I -8.8675 1.5237 -8.9983



(6)
4
Lattice="5.3509 0.0000 0.0000 2.6754 4.6340 0.0000 2.6754 1.5447 4.3690" Properties=species:S:1:pos:R:3 comment="SrLiHoZn | Alexandria | PBE-GGA | optimized geometry" n_ef_per_ev_fu=3.77 total_magnetization_mub_per_fu=0.0 vol_a3_per_cell=108.3 formation_energy_ev_per_atom=0.00 energy_ev_per_atom=-2.36 space_group=F-43m pbc="T T T"
Sr 2.6754 1.5447 1.0922
Zn 0.0000 0.0000 0.0000
Ho 8.0263 4.6340 3.2767
Li 5.3509 3.0893 2.1845



(7)
20
Lattice="-0.1889 2.3367 -4.9621 -9.6616 -0.2255 0.2616 3.5746 10.5184 4.8173" Properties=species:S:1:pos:R:3 comment="Pr6In3Hg | Alexandria | PBE-GGA | optimized geometry" polymorph_energy_ev_per_atom=0.000 n_ef_per_ev_fu=10.41 total_magnetization_mub_per_fu=0.0 vol_a3_per_cell=611.9 formation_energy_ev_per_atom=-0.38 energy_ev_per_atom=-4.10 space_group=P2_1/m pbc="T T T"
Pr -4.1868 1.3904 -0.7033
Pr -2.0891 11.2394 0.8201
Pr -0.7653 2.1594 -0.4714
Pr -5.5107 10.4703 0.5882
Pr -4.0395 7.5380 2.1862
Pr -2.2364 5.0917 -2.0694
Pr -0.6834 5.8016 1.2407
Pr -5.5925 6.8281 -1.1239
Pr -7.1124 3.5949 0.4462
Pr 0.8365 9.0348 -0.3294
Pr 2.2130 9.7874 3.0075
Pr -8.4889 2.8423 -2.8907
In -3.8480 4.4377 0.7188
In -2.4279 8.1920 -0.6020
In -0.8977 8.7537 2.6391
In -5.3783 3.8760 -2.5222
In -4.0126 10.6490 3.6502
In -2.2633 1.9807 -3.5334
Hg -7.1885 6.6397 1.8830
Hg 0.9126 5.9900 -1.7662



(8)
4
Lattice="-0.2288 1.9508 2.7720 -3.0519 -2.5331 1.5308 2.9458 -2.3870 1.9231" Properties=species:S:1:pos:R:3 comment="PaMn2Ga | Alexandria | PBE-GGA | optimized geometry" n_ef_per_ev_fu=4.25 total_magnetization_mub_per_fu=1.7 vol_a3_per_cell=61.4 formation_energy_ev_per_atom=-0.12 energy_ev_per_atom=-7.83 space_group=P4/mmm pbc="T T T"
Mn 1.4729 -1.1935 0.9615
Mn -1.5260 -1.2665 0.7654
Pa -0.1675 -1.4846 3.1129
Ga -0.1144 0.9754 1.3860